VASP calculation (PBE) on crystalline CsPaTe3Se at its relaxed geometry.

Formation energy (no corrections) ... -0.883 eV per atom
Magnetic moment ... 0.181 μB per cell

Cell lengths 9.4699, 4.3369, 11.9535 Å; angles 90.00, 108.55, 90.00 degrees
Fractional positions:
Cs 0.2335 0.2500 0.3090
Cs 0.7665 0.7500 0.6910
Pa 0.3155 0.7500 0.8273
Pa 0.6845 0.2500 0.1727
Te 0.1150 0.2500 0.9099
Te 0.3450 0.7500 0.5907
Te 0.4379 0.7500 0.1130
Te 0.5621 0.2500 0.8870
Te 0.6550 0.2500 0.4093
Te 0.8850 0.7500 0.0901
Se 0.1414 0.2500 0.6961
Se 0.8586 0.7500 0.3039

VASP calculation (PBE) on crystalline ZnFeRu2 at its relaxed geometry.

Magnetic moment ... 2.936 μB per cell
ΔE_f ... 0.077 eV per atom

Cell lengths 2.7183, 2.7183, 7.3685 Å; angles 90.00, 90.00, 90.00 degrees
Fractional positions:
Zn 0.0000 0.0000 0.0000
Fe 0.5000 0.5000 0.2454
Ru 0.0000 0.0000 0.5014
Ru 0.5000 0.5000 0.7398

VASP calculation (PBE) on crystalline Ti2Fe2Co at its relaxed geometry.

Energy above the lowest structure with this stoichiometry ... 0.011 eV per atom
Magnetic moment ... 3.667 μB per cell
ΔE_f ... -0.086 eV per atom

Cell lengths 5.9685, 5.9685, 3.7174 Å; angles 90.00, 90.00, 90.00 degrees
Fractional positions:
Ti 0.1826 0.3174 0.0000
Ti 0.3174 0.8174 0.0000
Ti 0.6826 0.1826 0.0000
Ti 0.8174 0.6826 0.0000
Fe 0.1285 0.6285 0.5000
Fe 0.3715 0.1285 0.5000
Fe 0.6285 0.8715 0.5000
Fe 0.8715 0.3715 0.5000
Co 0.0000 0.0000 0.5000
Co 0.5000 0.5000 0.5000

VASP calculation (PBE) on crystalline Li3PmCu8 at its relaxed geometry.

Energy above the lowest structure with this stoichiometry ... 0.000 eV per atom
Magnetic moment ... 0.000 μB per cell
ΔE_f ... -0.108 eV per atom

Cell lengths 5.0029, 5.0029, 8.2374 Å; angles 90.00, 90.00, 120.00 degrees
Fractional positions:
Li 0.0000 0.0000 0.0000
Li 0.0000 0.0000 0.3417
Li 0.3333 0.6667 0.9111
Pm 0.3333 0.6667 0.5098
Cu 0.0002 0.5001 0.1900
Cu 0.3290 0.1645 0.7052
Cu 0.4999 0.9998 0.1900
Cu 0.4999 0.5001 0.1900
Cu 0.6667 0.3333 0.4428
Cu 0.6667 0.3333 0.9452
Cu 0.8355 0.1645 0.7052
Cu 0.8355 0.6710 0.7052

VASP calculation (PBE) on crystalline Ba3Pa3MoN8 at its relaxed geometry.

Formation energy (no corrections) ... -1.058 eV per atom
Magnetic moment ... 0.000 μB per cell

Cell lengths 7.5688, 7.5688, 7.5688 Å; angles 55.09, 55.09, 55.09 degrees
Fractional positions:
Ba 0.0000 0.5000 0.5000
Ba 0.5000 0.0000 0.5000
Ba 0.5000 0.5000 0.0000
Pa 0.0000 0.0000 0.5000
Pa 0.0000 0.5000 0.0000
Pa 0.5000 0.0000 0.0000
Mo 0.5000 0.5000 0.5000
N 0.2263 0.2263 0.2263
N 0.2353 0.7138 0.7138
N 0.2862 0.2862 0.7647
N 0.2862 0.7647 0.2862
N 0.7138 0.2353 0.7138
N 0.7138 0.7138 0.2353
N 0.7647 0.2862 0.2862
N 0.7737 0.7737 0.7737

VASP calculation (PBE) on crystalline Fe2SnRhPb at its relaxed geometry.

Energy above the lowest structure with this stoichiometry ... 0.000 eV per atom
Magnetic moment ... 0.054 μB per cell
ΔE_f ... 1.118 eV per atom

Cell lengths 4.6209, 4.6209, 4.9969 Å; angles 90.00, 90.00, 90.00 degrees
Fractional positions:
Fe 0.0000 0.5000 0.0000
Fe 0.5000 0.0000 0.0000
Sn 0.0000 0.0000 0.5000
Rh 0.0000 0.0000 0.0000
Pb 0.5000 0.5000 0.5000

VASP calculation (PBE) on crystalline CaTl2AgSe at its relaxed geometry.

Formation energy (no corrections) ... 0.072 eV per atom
Magnetic moment ... 0.000 μB per cell

Cell lengths 6.1205, 6.1205, 4.8059 Å; angles 90.00, 90.00, 90.00 degrees
Fractional positions:
Ca 0.0000 0.0000 0.0000
Tl 0.0000 0.5000 0.5000
Tl 0.5000 0.0000 0.5000
Ag 0.5000 0.5000 0.0000
Se 0.5000 0.5000 0.5000

VASP calculation (PBE) on crystalline FeHgAs2 at its relaxed geometry.

Magnetic moment ... 1.830 μB per cell
ΔE_f ... 0.144 eV per atom

Cell lengths 5.3095, 5.3095, 5.7227 Å; angles 111.13, 111.13, 31.40 degrees
Fractional positions:
Fe 0.0000 0.0000 0.0000
Hg 0.7387 0.7387 0.9944
As 0.4071 0.4071 0.6335
As 0.5734 0.5734 0.3642